[1]
A PBEsol-optimized structure of CoSiNi2Ir. Source: the Alexandria database, functional meta-GGA SCAN.

Cell: 4.0972 4.0972 4.0840 Å, 90.00 90.00 90.00°
Space group P4/mmm (No. 123)
Asymmetric unit:
1 Co 0.0000 0.0000 0.0000 [1 per cell]
2 Si 0.0000 0.0000 0.5000 [1 per cell]
3 Ni 0.0000 0.5000 0.0000 [2 per cell]
4 Ir 0.5000 0.5000 0.5000 [1 per cell]

## Properties
As for the final energy: -25.1690 eV/atom. The value obtained for the uncorrected formation energy is 0.984 eV per atom.

[2]
A PBEsol-optimized structure of LiCuRh2. Source: the Alexandria database, functional meta-GGA SCAN.

Cell: 2.6361 3.7879 5.1154 Å, 90.00 90.00 90.00°
Space group Pmm2 (No. 25)
Asymmetric unit:
1 Li 0.0000 0.0000 0.0000 [1 per cell]
2 Cu 0.5000 0.5000 0.7737 [1 per cell]
3 Rh 0.0000 0.0000 0.5011 [1 per cell]
4 Rh 0.5000 0.5000 0.2769 [1 per cell]

## Properties
As for the final energy: -21.2951 eV/atom. As for the formation energy: -0.01 eV per atom.

[3]
A PBEsol-optimized structure of La6Co13Sb. Source: the Alexandria database, functional meta-GGA SCAN.

Cell: 7.9304 7.9304 22.6840 Å, 90.00 90.00 90.00°
Space group I4/mcm (No. 140)
Asymmetric unit:
1 La 0.0000 0.0000 0.1003 [8 per cell]
2 La 0.1625 0.3375 0.1791 [16 per cell]
3 Co 0.0000 0.5000 0.0000 [4 per cell]
4 Co 0.0649 0.2136 0.5000 [16 per cell]
5 Co 0.1137 0.3863 0.4119 [16 per cell]
6 Co 0.1766 0.3234 0.0563 [16 per cell]
7 Sb 0.0000 0.0000 0.2500 [4 per cell]

## Properties
As for the final energy: -26.1857 eV/atom. The value obtained for the uncorrected formation energy is -0.143 eV per atom.